Entry 1:
! TlAu2Se | the Alexandria database | PBE | relaxed; values from VASP
&SYSTEM
  ibrav = 0, nat = 4, ntyp = 3
/
ATOMIC_SPECIES
Au 196.97 Au.upf
Se 78.96 Se.upf
Tl 204.38 Tl.upf
CELL_PARAMETERS angstrom
-2.8352 1.6283 -4.5003
-5.0982 -0.9214 2.0252
4.4048 3.2833 0.8721
ATOMIC_POSITIONS angstrom
Au -7.7325 0.6890 -2.4124
Au -1.1436 2.6276 -2.4157
Se -4.3092 0.3840 -1.3444
Tl -2.2435 1.3500 0.8569
! formation energy without anion corrections	0.4	eV per formula unit
! total magnetic moment	0.00	μB/f.u.
! space group	Imm2, No. 44

Entry 2:
! TlAu2Se | the Alexandria database | PBE | relaxed; values from VASP
&SYSTEM
  ibrav = 0, nat = 4, ntyp = 3
/
ATOMIC_SPECIES
Au 196.97 Au.upf
Se 78.96 Se.upf
Tl 204.38 Tl.upf
CELL_PARAMETERS angstrom
3.7305 0.0000 0.0000
0.0000 6.2411 0.0000
0.0000 0.0000 4.0839
ATOMIC_POSITIONS angstrom
Au 0.0000 0.0000 0.0000
Au 1.8652 3.1205 0.0000
Se 1.8652 0.0000 2.0420
Tl 0.0000 3.1205 2.0420
! formation energy without anion corrections	0.6	eV per formula unit
! total magnetic moment	0.00	μB/f.u.
! space group	Pmmm, No. 47

Entry 3:
! Tl5AuSe8 | the Alexandria database | PBE | relaxed; values from VASP
&SYSTEM
  ibrav = 0, nat = 14, ntyp = 3
/
ATOMIC_SPECIES
Tl 204.38 Tl.upf
Au 196.97 Au.upf
Se 78.96 Se.upf
CELL_PARAMETERS angstrom
8.7799 -1.5134 -1.7199
-6.1977 6.4004 -1.7199
0.7996 1.5134 8.9109
ATOMIC_POSITIONS angstrom
Tl 6.2462 2.2280 6.2046
Tl 2.5994 3.5936 2.5457
Tl -2.1730 5.4809 -1.6545
Tl 1.2911 2.4435 -1.7199
Tl 0.0910 1.4982 3.8464
Au -2.0535 5.1786 2.7356
Se 3.8246 3.4969 -1.4061
Se -0.1476 2.6831 0.6253
Se -0.2565 5.0557 0.8274
Se -1.2021 4.1487 4.9938
Se 4.5831 2.2500 0.4785
Se 2.2365 1.2703 6.5682
Se 0.8501 5.3504 5.1549
Se 3.6392 1.3464 4.6425
! formation energy without anion corrections	-2.3	eV per formula unit
! total magnetic moment	0.00	μB/f.u.
! space group	I-4, No. 82

Entry 4:
! Tl8Au2Se | the Alexandria database | PBE | relaxed; values from VASP
&SYSTEM
  ibrav = 0, nat = 11, ntyp = 3
/
ATOMIC_SPECIES
Tl 204.38 Tl.upf
Au 196.97 Au.upf
Se 78.96 Se.upf
CELL_PARAMETERS angstrom
-3.7580 -1.9163 0.0502
3.6118 -7.1121 -1.0981
-0.5426 5.9813 10.4314
ATOMIC_POSITIONS angstrom
Tl 0.2270 -5.0510 1.4441
Tl 0.8278 -1.4563 6.3761
Tl -0.6412 1.3745 4.4657
Tl 0.9655 -1.8955 -0.0757
Tl -0.0476 -4.4216 4.9178
Tl -1.5166 -1.5907 3.0074
Tl -0.9157 2.0040 7.9394
Tl -1.6543 -1.1516 9.4593
Au 1.3538 -2.5786 2.9097
Au -2.0425 -0.4684 6.4738
Se -1.8790 -0.9581 0.0251
! formation energy without anion corrections	-1.1	eV per formula unit
! total magnetic moment	0.00	μB/f.u.
! space group	C2/m, No. 12

Entry 5:
! Tl4AuSe | the Alexandria database | PBE | relaxed; values from VASP
&SYSTEM
  ibrav = 0, nat = 6, ntyp = 3
/
ATOMIC_SPECIES
Tl 204.38 Tl.upf
Au 196.97 Au.upf
Se 78.96 Se.upf
CELL_PARAMETERS angstrom
-4.4129 -0.7719 4.5166
-4.8363 -4.0259 -0.9333
-0.2814 -5.4470 3.2742
ATOMIC_POSITIONS angstrom
Tl -5.7831 -4.2254 4.8335
Tl -3.7120 -6.5691 4.2107
Tl -5.9954 -5.8567 2.1014
Tl -3.5709 -3.8385 2.5693
Au -7.1480 -7.6837 5.1431
Se 0.0000 0.0000 0.0000
! formation energy without anion corrections	1.4	eV per formula unit
! total magnetic moment	0.00	μB/f.u.
! space group	F-43m, No. 216
! relative energy among the computed polymorphs	8.90	kcal/mol of atoms

Entry 6:
! Tl2Au2Se | the Alexandria database | PBE | relaxed; values from VASP
&SYSTEM
  ibrav = 0, nat = 5, ntyp = 3
/
ATOMIC_SPECIES
Tl 204.38 Tl.upf
Au 196.97 Au.upf
Se 78.96 Se.upf
CELL_PARAMETERS angstrom
-2.6626 0.4459 -2.7767
-2.7947 -0.8460 2.5440
-3.4275 8.1609 1.8964
ATOMIC_POSITIONS angstrom
Tl -2.8645 1.4258 0.2751
Tl -6.0203 6.3350 1.3887
Au -4.4094 4.2034 -0.4983
Au -4.4754 3.5574 2.1621
Se 0.0000 0.0000 0.0000
! formation energy without anion corrections	-0.3	eV per formula unit
! total magnetic moment	0.00	μB/f.u.
! space group	I4/mmm, No. 139
! relative energy among the computed polymorphs	0.00	kcal/mol of atoms

Entry 7:
! Tl2AuSe | the Alexandria database | PBE | relaxed; values from VASP
&SYSTEM
  ibrav = 0, nat = 4, ntyp = 3
/
ATOMIC_SPECIES
Au 196.97 Au.upf
Se 78.96 Se.upf
Tl 204.38 Tl.upf
CELL_PARAMETERS angstrom
-1.7659 -2.1466 -4.4695
3.1450 -3.1183 -2.8440
-0.9433 -5.1725 -0.2422
ATOMIC_POSITIONS angstrom
Au 0.2179 -5.2187 -3.7779
Se 0.3268 -7.8281 -5.6668
Tl 0.0000 0.0000 0.0000
Tl 0.1089 -2.6094 -1.8889
! formation energy without anion corrections	0.2	eV per formula unit
! total magnetic moment	0.00	μB/f.u.
! space group	F-43m, No. 216
! relative energy among the computed polymorphs	4.64	kcal/mol of atoms

Entry 8:
! Tl4AuSe6 | the Alexandria database | PBE | relaxed; values from VASP
&SYSTEM
  ibrav = 0, nat = 22, ntyp = 3
/
ATOMIC_SPECIES
Tl 204.38 Tl.upf
Au 196.97 Au.upf
Se 78.96 Se.upf
CELL_PARAMETERS angstrom
-5.4237 -4.8292 0.3570
1.8982 -7.2626 4.6373
-5.0696 1.0737 11.5449
ATOMIC_POSITIONS angstrom
Tl -4.8361 -0.5549 7.9409
Tl -0.2624 -3.7526 4.4154
Tl -5.9264 -4.5076 6.5302
Tl -6.8192 -6.9851 14.5756
Tl -6.5462 -8.5215 10.5274
Tl -4.7313 -5.2230 2.4212
Tl -7.0874 -3.9045 10.7694
Tl -1.9055 -6.5609 7.2039
Au -4.1021 -8.9421 8.8099
Au -4.3622 -1.9035 12.0514
Se -2.4972 -5.6345 4.1168
Se -6.2664 -10.6732 12.3516
Se -4.5830 -5.4802 8.7521
Se -0.7746 -9.3595 5.2770
Se -4.3150 -2.3447 5.8307
Se -3.7718 -3.5437 13.7816
Se -4.7880 0.1045 10.7050
Se -6.1424 -8.3717 7.5697
Se -1.3096 -1.0256 3.9418
Se -5.5566 -6.4896 12.2081
Se -3.9334 -3.3728 9.6700
Se -2.8690 -9.6952 6.3755
! formation energy without anion corrections	-1.8	eV per formula unit
! total magnetic moment	0.00	μB/f.u.
! space group	Cc, No. 9

Entry 9:
! Tl2AuSe | the Alexandria database | PBE | relaxed; values from VASP
&SYSTEM
  ibrav = 0, nat = 4, ntyp = 3
/
ATOMIC_SPECIES
Au 196.97 Au.upf
Se 78.96 Se.upf
Tl 204.38 Tl.upf
CELL_PARAMETERS angstrom
-3.4475 3.8772 2.3490
-2.1513 -3.1822 4.2048
5.2012 1.8082 -1.4536
ATOMIC_POSITIONS angstrom
Au -2.6520 0.3292 3.1043
Se -0.2144 -0.4711 3.4116
Tl -0.0443 0.0055 0.0519
Tl -0.2863 2.9871 1.8092
! formation energy without anion corrections	-0.3	eV per formula unit
! total magnetic moment	0.00	μB/f.u.
! space group	Imm2, No. 44
! relative energy among the computed polymorphs	1.62	kcal/mol of atoms

Entry 10:
! Tl5Au2Se4 | the Alexandria database | PBE | relaxed; values from VASP
&SYSTEM
  ibrav = 0, nat = 11, ntyp = 3
/
ATOMIC_SPECIES
Tl 204.38 Tl.upf
Au 196.97 Au.upf
Se 78.96 Se.upf
CELL_PARAMETERS angstrom
-0.0868 -2.1555 -3.5464
-2.5293 -7.6163 4.6912
-8.7994 4.3035 0.0289
ATOMIC_POSITIONS angstrom
Tl -7.5352 -2.7108 -0.5973
Tl -3.8802 -2.7574 1.7710
Tl -6.1201 0.7115 -2.7120
Tl -0.0434 -1.0778 -1.7732
Tl -5.2954 -6.1797 3.8857
Au -8.1364 0.4739 -0.0889
Au -3.2790 -5.9421 1.2626
Se -5.6789 -0.1544 0.2328
Se -1.8772 -5.4530 3.3604
Se -5.7366 -5.3139 0.9409
Se -9.5382 -0.0152 -2.1867
! formation energy without anion corrections	-2.3	eV per formula unit
! total magnetic moment	0.00	μB/f.u.
! space group	C2/m, No. 12

Entry 11:
! Tl6AuSe3 | the Alexandria database | PBE | relaxed; values from VASP
&SYSTEM
  ibrav = 0, nat = 20, ntyp = 3
/
ATOMIC_SPECIES
Tl 204.38 Tl.upf
Au 196.97 Au.upf
Se 78.96 Se.upf
CELL_PARAMETERS angstrom
-2.9172 2.1542 2.4145
4.6838 -5.0260 10.1430
4.3155 12.1051 -5.5861
ATOMIC_POSITIONS angstrom
Tl 3.1779 6.7002 3.7573
Tl 2.9043 2.5331 3.2142
Tl 6.0355 9.2820 4.9063
Tl 0.0467 -0.0487 2.0651
Tl 3.4578 11.4346 -0.1285
Tl 2.6244 -2.2014 7.0999
Tl 2.2221 1.4521 7.2849
Tl 3.8600 7.7812 -0.3134
Tl 0.3184 6.7434 0.2640
Tl 5.7638 2.4899 6.7074
Tl 5.3490 6.0412 6.9684
Tl 0.7332 3.1921 0.0031
Au 1.3190 9.3409 -0.8446
Au 4.7632 -0.1076 7.8160
Se 4.0298 9.5492 2.2447
Se 2.0524 -0.3159 4.7267
Se 3.1409 4.0210 6.1029
Se 2.9413 5.2123 0.8685
Se -0.5246 2.8744 2.6973
Se 6.6068 6.3589 4.2742
! formation energy without anion corrections	-2.6	eV per formula unit
! total magnetic moment	0.00	μB/f.u.
! space group	P2_1/m, No. 11

Entry 12:
! TlAu2Se | the Alexandria database | PBE | relaxed; values from VASP
&SYSTEM
  ibrav = 0, nat = 4, ntyp = 3
/
ATOMIC_SPECIES
Au 196.97 Au.upf
Se 78.96 Se.upf
Tl 204.38 Tl.upf
CELL_PARAMETERS angstrom
8.0404 -0.1179 -0.4026
-4.4428 4.4695 0.3798
-0.8451 0.7931 2.7081
ATOMIC_POSITIONS angstrom
Au 0.0000 0.0000 0.0000
Au 3.5977 0.3376 1.1527
Se -2.6439 2.6313 1.5440
Tl 1.7988 2.1758 -0.0114
! formation energy without anion corrections	0.6	eV per formula unit
! total magnetic moment	0.00	μB/f.u.
! space group	C2/m, No. 12